VASP calculation (PBE) on an optimized crystal structure of SrAlIr2Rh.

Geometry as CIF:
```
data_SrAlIr2Rh
_symmetry_space_group_name_H-M 'P 4/m m m'
_symmetry_Int_Tables_number 123
_symmetry_space_group_name_Hall '-P 4 2'
_cell_length_a 4.807
_cell_length_b 4.807
_cell_length_c 5.350
_cell_angle_alpha 90.00
_cell_angle_beta 90.00
_cell_angle_gamma 90.00
loop_
_atom_site_label
_atom_site_fract_x
_atom_site_fract_y
_atom_site_fract_z
Sr1 0.000 0.000 0.000
Al1 0.500 0.500 0.000
Ir1 0.000 0.500 0.500
Rh1 0.000 0.000 0.500
```

Energy of formation: 1046 meV/atom
V: 123.60 Å³/f.u.
N(E_F): 1.001 states/eV per atom
Raw total energy: -5.0537 eV per atom